Record 1
DFT (PBE) results for a geometry-optimized HoRuPb2O6 structure.

Properties
VASP energy	-6.753	eV per atom
ΔE_f (raw)	-16.51	eV per formula unit
calculated volume	14.17	Å³ per atom

Cell: 5.8451 5.8662 10.1018 Å, 90.00 125.08 90.00°
Element x y z (fractional)
Ho (0.0000, 0.0000, 0.0000)
Ho (0.0000, 0.5000, 0.5000)
Ru (0.5000, 0.0000, 0.5000)
Ru (0.5000, 0.5000, 0.0000)
Pb (0.2595, 0.0289, 0.7518)
Pb (0.2595, 0.4711, 0.2518)
Pb (0.7405, 0.5289, 0.7482)
Pb (0.7405, 0.9711, 0.2482)
O (0.1905, 0.0160, 0.2665)
O (0.1905, 0.4840, 0.7665)
O (0.2726, 0.7007, 0.0407)
O (0.2726, 0.7993, 0.5407)
O (0.3437, 0.2281, 0.0396)
O (0.3437, 0.2719, 0.5396)
O (0.6563, 0.7281, 0.4604)
O (0.6563, 0.7719, 0.9604)
O (0.7274, 0.2007, 0.4593)
O (0.7274, 0.2993, 0.9593)
O (0.8095, 0.5160, 0.2335)
O (0.8095, 0.9840, 0.7335)

Record 2
DFT (PBE) results for a geometry-optimized HoPbS2O8 structure.

Properties
VASP energy	-6.445	eV per atom
ΔE_f (raw)	-21.14	eV per formula unit
calculated volume	18.92	Å³ per atom

Cell: 5.4275 5.4275 8.8956 Å, 96.42 96.42 60.88°
Element x y z (fractional)
Ho (0.0000, 0.0000, 0.0000)
Pb (0.0000, 0.0000, 0.5000)
S (0.3181, 0.3181, 0.7938)
S (0.6819, 0.6819, 0.2062)
O (0.1895, 0.6291, 0.8313)
O (0.1990, 0.1990, 0.8902)
O (0.2613, 0.2613, 0.6321)
O (0.3709, 0.8105, 0.1687)
O (0.6291, 0.1895, 0.8313)
O (0.7387, 0.7387, 0.3679)
O (0.8010, 0.8010, 0.1098)
O (0.8105, 0.3709, 0.1687)

Record 3
DFT (PBE) results for a geometry-optimized Ho3PbSO structure.

Properties
VASP energy	-6.210	eV per atom
ΔE_f (raw)	-10.73	eV per formula unit
calculated volume	24.24	Å³ per atom

Cell: 8.6512 3.8997 8.9014 Å, 90.00 104.42 90.00°
Element x y z (fractional)
Ho (0.0630, 0.2500, 0.3451)
Ho (0.3321, 0.2500, 0.9758)
Ho (0.3875, 0.7500, 0.6429)
Ho (0.6125, 0.2500, 0.3571)
Ho (0.6679, 0.7500, 0.0242)
Ho (0.9370, 0.7500, 0.6549)
Pb (0.3094, 0.7500, 0.2675)
Pb (0.6906, 0.2500, 0.7325)
S (0.1610, 0.2500, 0.6594)
S (0.8390, 0.7500, 0.3406)
O (0.4119, 0.7500, 0.9007)
O (0.5881, 0.2500, 0.0993)

Record 4
DFT (PBE) results for a geometry-optimized Ho2Sc4Pb3O2 structure.

Properties
VASP energy	-6.445	eV per atom
ΔE_f (raw)	-15.37	eV per formula unit
calculated volume	21.84	Å³ per atom

Cell: 12.6755 12.6755 12.6755 Å, 159.91 159.91 28.56°
Element x y z (fractional)
Ho (0.1917, 0.1917, 0.0000)
Ho (0.8083, 0.8083, 0.0000)
Sc (0.0830, 0.5830, 0.5000)
Sc (0.4170, 0.9170, 0.5000)
Sc (0.5830, 0.0830, 0.5000)
Sc (0.9170, 0.4170, 0.5000)
Pb (0.3235, 0.3235, 0.0000)
Pb (0.5000, 0.5000, 0.0000)
Pb (0.6765, 0.6765, 0.0000)
O (0.0946, 0.0946, 0.0000)
O (0.9054, 0.9054, 0.0000)

Record 5
DFT (PBE) results for a geometry-optimized Ho2ScPb2O2 structure.

Properties
VASP energy	-6.354	eV per atom
ΔE_f (raw)	-11.66	eV per formula unit
calculated volume	19.99	Å³ per atom

Cell: 8.6896 8.6896 8.6896 Å, 152.47 152.47 39.33°
Element x y z (fractional)
Ho (0.1016, 0.1016, 0.0000)
Ho (0.8984, 0.8984, 0.0000)
Sc (0.5000, 0.5000, 0.0000)
Pb (0.3030, 0.3030, 0.0000)
Pb (0.6970, 0.6970, 0.0000)
O (0.0000, 0.5000, 0.5000)
O (0.5000, 0.0000, 0.5000)

Record 6
DFT (PBE) results for a geometry-optimized HoPbSe2O8 structure.

Properties
VASP energy	-5.886	eV per atom
ΔE_f (raw)	-15.71	eV per formula unit
calculated volume	17.30	Å³ per atom

Cell: 5.3611 5.3611 7.7496 Å, 90.12 90.12 68.76°
Element x y z (fractional)
Ho (0.0000, 0.0000, 0.0000)
Pb (0.0000, 0.0000, 0.5000)
Se (0.3686, 0.3686, 0.2323)
Se (0.6314, 0.6314, 0.7677)
O (0.2112, 0.7238, 0.2220)
O (0.2452, 0.2452, 0.0646)
O (0.2762, 0.7888, 0.7780)
O (0.2812, 0.2812, 0.4240)
O (0.7188, 0.7188, 0.5760)
O (0.7238, 0.2112, 0.2220)
O (0.7548, 0.7548, 0.9354)
O (0.7888, 0.2762, 0.7780)

Record 7
DFT (PBE) results for a geometry-optimized HoPbSeO5 structure.

Properties
VASP energy	-6.199	eV per atom
ΔE_f (raw)	-13.03	eV per formula unit
calculated volume	16.76	Å³ per atom

Cell: 6.2250 6.2250 7.9788 Å, 105.82 105.82 104.40°
Element x y z (fractional)
Ho (0.0000, 0.5000, 0.0000)
Ho (0.5000, 0.0000, 0.5000)
Pb (0.0458, 0.9542, 0.7500)
Pb (0.9542, 0.0458, 0.2500)
Se (0.4483, 0.5517, 0.7500)
Se (0.5517, 0.4483, 0.2500)
O (0.1789, 0.8211, 0.2500)
O (0.2176, 0.2708, 0.1019)
O (0.2708, 0.2176, 0.6019)
O (0.3093, 0.6287, 0.9019)
O (0.3713, 0.6907, 0.5981)
O (0.6287, 0.3093, 0.4019)
O (0.6907, 0.3713, 0.0981)
O (0.7292, 0.7824, 0.3981)
O (0.7824, 0.7292, 0.8981)
O (0.8211, 0.1789, 0.7500)

Record 8
DFT (PBE) results for a geometry-optimized SmHoPbO2 structure.

Properties
VASP energy	-7.108	eV per atom
ΔE_f (raw)	-12.62	eV per formula unit
calculated volume	21.54	Å³ per atom

Cell: 7.6600 7.6600 7.6600 Å, 150.65 150.65 41.98°
Element x y z (fractional)
Sm (0.0000, 0.0000, 0.0000)
Ho (0.3402, 0.3402, 0.0000)
Pb (0.6708, 0.6708, 0.0000)
O (0.4153, 0.9153, 0.5000)
O (0.9153, 0.4153, 0.5000)

Record 9
DFT (PBE) results for a geometry-optimized Sr2HoPbO5 structure.

Properties
VASP energy	-6.468	eV per atom
ΔE_f (raw)	-21.77	eV per formula unit
calculated volume	17.15	Å³ per atom

Cell: 7.6146 7.6146 11.8370 Å, 90.00 90.00 153.26°
Element x y z (fractional)
Sr (0.1304, 0.8696, 0.5000)
Sr (0.1315, 0.8685, 0.0176)
Sr (0.8685, 0.1315, 0.5176)
Sr (0.8696, 0.1304, 0.0000)
Ho (0.2389, 0.7611, 0.7761)
Ho (0.7611, 0.2389, 0.2761)
Pb (0.4947, 0.5053, 0.2501)
Pb (0.5053, 0.4947, 0.7501)
O (0.0836, 0.9164, 0.8049)
O (0.2661, 0.7339, 0.1499)
O (0.2797, 0.7203, 0.4071)
O (0.3779, 0.6221, 0.8460)
O (0.4915, 0.5085, 0.5631)
O (0.5085, 0.4915, 0.0631)
O (0.6221, 0.3779, 0.3460)
O (0.7203, 0.2797, 0.9071)
O (0.7339, 0.2661, 0.6499)
O (0.9164, 0.0836, 0.3049)

Record 10
DFT (PBE) results for a geometry-optimized HoTaPb2O6 structure.

Properties
VASP energy	-7.740	eV per atom
ΔE_f (raw)	-23.80	eV per formula unit
calculated volume	14.62	Å³ per atom

Cell: 5.8973 5.9284 10.2247 Å, 90.00 125.14 90.00°
Element x y z (fractional)
Ho (0.0000, 0.0000, 0.0000)
Ho (0.0000, 0.5000, 0.5000)
Ta (0.5000, 0.0000, 0.5000)
Ta (0.5000, 0.5000, 0.0000)
Pb (0.2574, 0.0242, 0.7517)
Pb (0.2574, 0.4758, 0.2517)
Pb (0.7426, 0.5242, 0.7483)
Pb (0.7426, 0.9758, 0.2483)
O (0.1890, 0.0149, 0.2650)
O (0.1890, 0.4851, 0.7650)
O (0.2676, 0.6985, 0.0397)
O (0.2676, 0.8015, 0.5397)
O (0.3452, 0.2243, 0.0390)
O (0.3452, 0.2757, 0.5390)
O (0.6548, 0.7243, 0.4610)
O (0.6548, 0.7757, 0.9610)
O (0.7324, 0.1985, 0.4603)
O (0.7324, 0.3015, 0.9603)
O (0.8110, 0.5149, 0.2350)
O (0.8110, 0.9851, 0.7350)

Record 11
DFT (PBE) results for a geometry-optimized TbHoPbO2 structure.

Properties
VASP energy	-7.132	eV per atom
ΔE_f (raw)	-12.83	eV per formula unit
calculated volume	20.98	Å³ per atom

Cell: 7.5970 7.5970 7.5970 Å, 150.68 150.68 41.94°
Element x y z (fractional)
Tb (0.0000, 0.0000, 0.0000)
Ho (0.3416, 0.3416, 0.0000)
Pb (0.6711, 0.6711, 0.0000)
O (0.4192, 0.9192, 0.5000)
O (0.9192, 0.4192, 0.5000)

Record 12
DFT (PBE) results for a geometry-optimized HoTcPb2O6 structure.

Properties
VASP energy	-7.020	eV per atom
ΔE_f (raw)	-18.09	eV per formula unit
calculated volume	14.25	Å³ per atom

Cell: 5.8642 5.8725 10.1142 Å, 90.00 125.12 90.00°
Element x y z (fractional)
Ho (0.0000, 0.0000, 0.0000)
Ho (0.0000, 0.5000, 0.5000)
Tc (0.5000, 0.0000, 0.5000)
Tc (0.5000, 0.5000, 0.0000)
Pb (0.2616, 0.0264, 0.7522)
Pb (0.2616, 0.4736, 0.2522)
Pb (0.7384, 0.5264, 0.7478)
Pb (0.7384, 0.9736, 0.2478)
O (0.1900, 0.0148, 0.2668)
O (0.1900, 0.4852, 0.7668)
O (0.2766, 0.7027, 0.0426)
O (0.2766, 0.7973, 0.5426)
O (0.3439, 0.2292, 0.0408)
O (0.3439, 0.2708, 0.5408)
O (0.6561, 0.7292, 0.4592)
O (0.6561, 0.7708, 0.9592)
O (0.7234, 0.2027, 0.4574)
O (0.7234, 0.2973, 0.9574)
O (0.8100, 0.5148, 0.2332)
O (0.8100, 0.9852, 0.7332)